Entry 1:
This record from Alexandria via LeMat-Bulk describes crystalline BiTePd6 at its relaxed geometry. The functional is PBE.

Output
SG = C2/m (12)
energy relative to the elements, uncorrected = -140 meV per atom
calculated total energy = -4.9122 eV per atom
calculated volume = 19.4 Å³/atom
magnetic moment = 0.00 μB per formula unit

POSCAR file:
```
BiTePd6
1.0
-0.1980 -4.7364 0.7924
0.2737 -2.3691 -4.1728
7.1359 -2.4739 -0.5015
Pd Te Bi
6 1 1
Direct
0.6510 0.6510 0.0564
0.5589 0.0695 0.2983
0.3490 0.3490 0.9436
0.9305 0.4411 0.7017
0.4411 0.9305 0.7017
0.0695 0.5589 0.2983
0.0000 0.0000 0.0000
0.5000 0.5000 0.5000
```



Entry 2:
This record from Alexandria via LeMat-Bulk describes crystalline Bi2TePd7 at its relaxed geometry. The functional is PBE.

Output
SG = Cmmm (65)
energy relative to the elements, uncorrected = 8 meV per atom
calculated total energy = -4.7173 eV per atom
calculated volume = 21.3 Å³/atom
magnetic moment = 0.00 μB per formula unit

POSCAR file:
```
Bi2TePd7
1.0
3.4430 0.0000 0.0000
0.0000 8.9099 -1.0069
0.0000 -4.9183 7.4974
Bi Pd Te
2 7 1
Direct
0.5000 0.3236 0.6764
0.5000 0.6764 0.3236
0.5000 0.2841 0.0987
0.5000 0.9013 0.7159
0.0000 0.1972 0.8028
0.5000 0.7159 0.9013
0.0000 0.8028 0.1972
0.5000 0.0987 0.2841
0.5000 0.5000 0.5000
0.0000 0.0000 0.0000
```



Entry 3:
This record from Alexandria via LeMat-Bulk describes crystalline Bi2TePd2 at its relaxed geometry. The functional is PBE.

Output
SG = Cmc2_1 (36)
energy relative to the elements, uncorrected = -276 meV per atom
calculated total energy = -4.5340 eV per atom
calculated volume = 24.1 Å³/atom
magnetic moment = 0.00 μB per formula unit

POSCAR file:
```
Bi2TePd2
1.0
-1.9541 -1.3193 -3.6624
4.9012 0.1550 -2.6709
2.6461 -8.7926 4.3456
Pd Bi Te
4 4 2
Direct
0.3291 0.5543 0.6583
0.1324 0.3696 0.2648
0.6709 0.0543 0.3417
0.8676 0.8696 0.7352
0.2727 0.0744 0.5455
0.7273 0.5744 0.4545
0.4580 0.8514 0.9159
0.5420 0.3514 0.0841
0.1055 0.8548 0.2110
0.8945 0.3548 0.7890
```